[1]
Density functional theory data (GGA-PBE) for crystalline HoZr2UP4 at its relaxed geometry.

a = 3.8299 Å, b = 6.6510 Å, c = 6.6507 Å
α = 109.21°, β = 90.00°, γ = 90.00°
With the nearest neighbours (Å) after each atom.
Fractional coordinates of all 8 atoms:
Ho: 0.0000 0.0000 0.0000  6 P 2.76
Zr: 0.5000 0.0000 0.5000  6 P 2.69
Zr: 0.0000 0.5000 0.5000  6 P 2.67
U: 0.5000 0.5000 0.0000  6 P 2.73-2.75
P: 0.5000 0.2567 0.2599  3 Zr 2.67-2.69, 1 U 2.73, 2 Ho 2.76
P: 0.5000 0.7433 0.7401  3 Zr 2.67-2.69, 1 U 2.73, 2 Ho 2.76
P: 0.0000 0.2486 0.7404  3 Zr 2.67-2.69, 2 U 2.75, 1 Ho 2.76
P: 0.0000 0.7514 0.2596  3 Zr 2.67-2.69, 2 U 2.75, 1 Ho 2.76

Results
For the formation energy, the calculation gives -1.3522 eV per atom. For the mass density, the calculation gives 7.362 Mg/m³. The calculation puts the total energy at -8.18 eV per atom.

---

[2]
Density functional theory data (GGA-PBE) for crystalline CaPd4Au2 at its relaxed geometry.

a = 5.8098 Å, b = 5.8094 Å, c = 9.4119 Å
α = 139.96°, β = 139.97°, γ = 56.45°
With the nearest neighbours (Å) after each atom.
Fractional coordinates of all 7 atoms:
Ca: 0.0000 0.0000 0.0000  8 Pd 2.90, 2 Au 2.98
Au: 0.7321 0.7321 0.4651  2 Au 2.77, 8 Pd 2.80-3.01, 1 Ca 2.98
Au: 0.2679 0.2679 0.5349  2 Au 2.77, 8 Pd 2.80-3.01, 1 Ca 2.98
Pd: 0.7526 0.2474 0.5000  4 Pd 2.72-2.79, 4 Au 2.81-3.01, 2 Ca 2.90
Pd: 0.2474 0.7526 0.5000  4 Pd 2.72-2.79, 4 Au 2.81-3.01, 2 Ca 2.90
Pd: 0.5000 0.0000 0.0000  4 Pd 2.75-2.79, 4 Au 2.80-2.99, 2 Ca 2.90
Pd: 0.0000 0.5000 0.0000  4 Pd 2.75-2.79, 4 Au 2.80-2.99, 2 Ca 2.90

Results
Its polymorph energy (0 for the lowest one) is 0 meV per atom. For the formation energy, the calculation gives -0.2786 eV per atom. For the mass density, the calculation gives 10.896 Mg/m³. The calculation puts the total energy at -4.47 eV per atom.

---

[3]
Density functional theory data (GGA-PBE) for crystalline CeCuPSe at its relaxed geometry.

a = 4.0538 Å, b = 4.0538 Å, c = 9.2861 Å
α = 90.00°, β = 90.00°, γ = 90.00°
With the nearest neighbours (Å) after each atom.
Fractional coordinates of all 8 atoms:
Ce: 0.5000 0.0000 0.7386  4 Se 3.00, 4 P 3.05, 4 Cu 3.16
Ce: 0.0000 0.5000 0.2614  4 Se 3.00, 4 P 3.05, 4 Cu 3.16
Cu: 0.5000 0.5000 0.0000  4 P 2.45
Cu: 0.0000 0.0000 0.0000  4 P 2.45
P: 0.0000 0.5000 0.8518  4 Cu 2.45
P: 0.5000 0.0000 0.1482  4 Cu 2.45
Se: 0.0000 0.0000 0.5000  4 Se 2.87, 4 Ce 3.00
Se: 0.5000 0.5000 0.5000  4 Se 2.87, 4 Ce 3.00

Results
As for the formation energy (no corrections): -0.955 eV per atom. For the mass density, the calculation gives 6.825 Mg/m³. The calculation puts the total energy at -5.69 eV per atom.

---

[4]
Density functional theory data (GGA-PBE) for crystalline ReTeMo2 at its relaxed geometry.

a = 3.2110 Å, b = 4.6038 Å, c = 4.5336 Å
α = 90.00°, β = 90.00°, γ = 90.00°
With the nearest neighbours (Å) after each atom.
Fractional coordinates of all 4 atoms:
Mo: 0.0000 0.0000 0.0000  4 Re 2.78, 4 Mo 2.81
Mo: 0.5000 0.5000 0.0000  4 Te 2.78, 4 Mo 2.81
Re: 0.5000 0.0000 0.5000  4 Mo 2.78, 4 Te 2.81
Te: 0.0000 0.5000 0.5000  4 Mo 2.78, 4 Re 2.81

Results
As for the formation energy (no corrections): 0.504 eV per atom. For the mass density, the calculation gives 12.529 Mg/m³. The calculation puts the total energy at -8.81 eV per atom.

---

What did the third record say?
Density functional theory data (GGA-PBE) for crystalline CeCuPSe at its relaxed geometry.

a = 4.0538 Å, b = 4.0538 Å, c = 9.2861 Å
α = 90.00°, β = 90.00°, γ = 90.00°
With the nearest neighbours (Å) after each atom.
Fractional coordinates of all 8 atoms:
Ce: 0.5000 0.0000 0.7386  4 Se 3.00, 4 P 3.05, 4 Cu 3.16
Ce: 0.0000 0.5000 0.2614  4 Se 3.00, 4 P 3.05, 4 Cu 3.16
Cu: 0.5000 0.5000 0.0000  4 P 2.45
Cu: 0.0000 0.0000 0.0000  4 P 2.45
P: 0.0000 0.5000 0.8518  4 Cu 2.45
P: 0.5000 0.0000 0.1482  4 Cu 2.45
Se: 0.0000 0.0000 0.5000  4 Se 2.87, 4 Ce 3.00
Se: 0.5000 0.5000 0.5000  4 Se 2.87, 4 Ce 3.00

Results
As for the formation energy (no corrections): -0.955 eV per atom. For the mass density, the calculation gives 6.825 Mg/m³. The calculation puts the total energy at -5.69 eV per atom.

---

The lowest mass density belongs to which entry?
CeCuPSe

---

The highest total energy belongs to which entry?
CaPd4Au2